--- 1 ---
DFT (GGA-PBE) results for a relaxed Tb3NdPt crystal.

Computed properties:
Its space group is No. 221.

Cell lengths 5.5172, 5.5172, 5.5172 Å; angles 90.00, 90.00, 90.00 degrees
Fractional positions:
Nd 0.5000 0.5000 0.5000
Tb 0.0000 0.5000 0.0000
Tb 0.0000 0.0000 0.5000
Tb 0.5000 0.0000 0.0000
Pt 0.0000 0.0000 0.0000

---

--- 2 ---
DFT (GGA-PBE) results for a relaxed Tb3NdPt crystal.

Computed properties:
Its space group is No. 11.

Cell lengths 5.1262, 6.5610, 8.7517 Å; angles 83.60, 90.00, 90.00 degrees
Fractional positions:
Tb 0.3756 0.4107 0.2029
Tb 0.3757 0.8915 0.0077
Tb 0.8755 0.5058 0.4690
Tb 0.8757 0.9421 0.6987
Tb 0.8757 0.4613 0.8938
Tb 0.3756 0.8470 0.4326
Nd 0.3755 0.2807 0.6629
Nd 0.8756 0.0721 0.2386
Pt 0.3756 0.7038 0.7429
Pt 0.8757 0.6490 0.1587

---

Quick one: least stable of them? 1

---

--- 1 ---
DFT (GGA-PBE) results for a relaxed Tb3NdPt2 crystal.

Computed properties:
Its space group is No. 12.

Cell lengths 5.2335, 10.9186, 7.4294 Å; angles 127.64, 90.00, 103.87 degrees
Fractional positions:
Tb 0.3375 0.6750 0.6672
Tb 0.9660 0.9321 0.7068
Tb 0.6034 0.2068 0.6776
Tb 0.3966 0.7932 0.3224
Tb 0.0340 0.0679 0.2932
Tb 0.6625 0.3250 0.3328
Nd 0.8063 0.6126 0.9453
Nd 0.1937 0.3874 0.0547
Pt 0.5134 0.0268 0.8331
Pt 0.4866 0.9732 0.1669
Pt 0.7938 0.5876 0.3179
Pt 0.2062 0.4124 0.6821

---

--- 2 ---
DFT (GGA-PBE) results for a relaxed Tb3NdPt2 crystal.

Computed properties:
Its space group is No. 26.

Cell lengths 4.8181, 7.2449, 8.9099 Å; angles 90.00, 90.00, 90.00 degrees
Fractional positions:
Tb 0.0000 0.4914 0.9197
Tb 0.0000 0.9914 0.0803
Tb 0.5000 0.6443 0.1650
Tb 0.5000 0.1443 0.8350
Tb 0.0000 0.3570 0.3283
Tb 0.0000 0.8570 0.6717
Nd 0.5000 0.5082 0.5810
Nd 0.5000 0.0082 0.4190
Pt 0.5000 0.7452 0.8445
Pt 0.5000 0.2452 0.1555
Pt 0.0000 0.2540 0.6636
Pt 0.0000 0.7540 0.3364

---

Quick one: least stable of them? 1

---

--- 1 ---
DFT (GGA-PBE) results for a relaxed Nd5Te2Pt crystal.

Computed properties:
Its space group is No. 55.

Cell lengths 4.2020, 8.5489, 13.7057 Å; angles 90.00, 90.00, 90.00 degrees
Fractional positions:
Nd 0.0000 0.0000 0.5000
Nd 0.0000 0.5000 0.0000
Nd 0.0000 0.8352 0.1891
Nd 0.0000 0.1648 0.8109
Nd 0.0000 0.6648 0.6891
Nd 0.0000 0.3352 0.3109
Nd 0.5000 0.6754 0.4110
Nd 0.5000 0.3246 0.5890
Nd 0.5000 0.8246 0.9110
Nd 0.5000 0.1754 0.0890
Te 0.5000 0.5430 0.1795
Te 0.5000 0.4570 0.8205
Te 0.5000 0.9570 0.6795
Te 0.5000 0.0430 0.3205
Pt 0.0000 0.5000 0.5000
Pt 0.0000 0.0000 0.0000

---

--- 2 ---
DFT (GGA-PBE) results for a relaxed Nd5Te2Pt crystal.

Computed properties:
Its space group is No. 63.

Cell lengths 6.1154, 6.9464, 14.2819 Å; angles 90.00, 90.00, 116.12 degrees
Fractional positions:
Nd 0.9396 0.8792 0.8825
Nd 0.9396 0.8792 0.6175
Nd 0.3821 0.7641 0.4015
Nd 0.3821 0.7641 0.0985
Nd 0.6694 0.3388 0.2500
Nd 0.3306 0.6612 0.7500
Nd 0.6179 0.2359 0.5985
Nd 0.6179 0.2359 0.9015
Nd 0.0604 0.1208 0.1175
Nd 0.0604 0.1208 0.3825
Te 0.8060 0.6120 0.4321
Te 0.8060 0.6120 0.0679
Te 0.1940 0.3880 0.5679
Te 0.1940 0.3880 0.9321
Pt 0.7733 0.5465 0.7500
Pt 0.2267 0.4535 0.2500

---

Quick one: least stable of them? 2

---

--- 1 ---
DFT (GGA-PBE) results for a relaxed Nd2TePt crystal.

Computed properties:
Its space group is No. 12.

Cell lengths 4.2696, 4.2660, 7.9692 Å; angles 105.60, 90.00, 120.03 degrees
Fractional positions:
Nd 0.2619 0.0237 0.2857
Nd 0.7382 0.9763 0.7143
Te 0.5000 0.5000 0.0000
Pt 0.0000 0.5000 0.5000

---

--- 2 ---
DFT (GGA-PBE) results for a relaxed Nd2TePt crystal.

Computed properties:
Its space group is No. 160.

Cell lengths 4.2882, 4.2882, 7.9763 Å; angles 74.41, 74.41, 60.00 degrees
Fractional positions:
Nd 0.0702 0.0702 0.7894
Nd 0.2634 0.2634 0.2099
Te 0.4998 0.4998 0.5006
Pt 0.6666 0.6666 0.0002

---

Quick one: least stable of them? 2

---

--- 1 ---
DFT (GGA-PBE) results for a relaxed NdThPt2 crystal.

Computed properties:
Its space group is No. 225.

Cell lengths 5.1128, 5.1128, 5.1128 Å; angles 60.00, 60.00, 60.00 degrees
Fractional positions:
Nd 0.5000 0.5000 0.5000
Pt 0.2500 0.2500 0.2500
Pt 0.7500 0.7500 0.7500
Th 0.0000 0.0000 0.0000

---

--- 2 ---
DFT (GGA-PBE) results for a relaxed NdThPt2 crystal.

Computed properties:
Its space group is No. 6.

Cell lengths 3.8835, 4.5171, 5.9072 Å; angles 90.00, 109.24, 90.00 degrees
Fractional positions:
Nd 0.4448 0.5000 0.4267
Th 0.7162 0.0000 0.9736
Pt 0.1771 0.5000 0.8950
Pt 0.9929 0.0000 0.5227

---

--- 3 ---
DFT (GGA-PBE) results for a relaxed NdThPt2 crystal.

Computed properties:
Its space group is No. 160.

Cell lengths 4.1249, 4.1249, 7.5519 Å; angles 74.15, 74.15, 60.00 degrees
Fractional positions:
Nd 0.4971 0.4971 0.5088
Th 0.6688 0.6688 0.9935
Pt 0.0808 0.0808 0.7575
Pt 0.2533 0.2533 0.2402

---

--- 4 ---
DFT (GGA-PBE) results for a relaxed NdThPt2 crystal.

Computed properties:
Its space group is No. 166.

Cell lengths 4.1776, 4.1776, 7.3407 Å; angles 73.47, 73.47, 60.00 degrees
Fractional positions:
Nd 0.5000 0.5000 0.5000
Pt 0.7468 0.7468 0.7595
Pt 0.2532 0.2532 0.2405
Th 0.0000 0.0000 0.0000

---

Quick one: least stable of them? 1

---

--- 1 ---
DFT (GGA-PBE) results for a relaxed NdTh2Pt crystal.

Computed properties:
Its space group is No. 123.

Cell lengths 3.7162, 3.7162, 8.3406 Å; angles 90.00, 90.00, 90.00 degrees
Fractional positions:
Nd 0.5000 0.5000 0.5000
Pt 0.5000 0.5000 0.0000
Th 0.0000 0.0000 0.7991
Th 0.0000 0.0000 0.2009

---

--- 2 ---
DFT (GGA-PBE) results for a relaxed NdTh2Pt crystal.

Computed properties:
Its space group is No. 63.

Cell lengths 3.8294, 6.2934, 10.2043 Å; angles 90.00, 90.00, 107.72 degrees
Fractional positions:
Nd 0.9181 0.8365 0.2500
Nd 0.0819 0.1635 0.7500
Th 0.3626 0.7260 0.5524
Th 0.6374 0.2740 0.4476
Th 0.3626 0.7260 0.9476
Th 0.6374 0.2740 0.0524
Pt 0.7888 0.5785 0.7500
Pt 0.2112 0.4215 0.2500

---

--- 3 ---
DFT (GGA-PBE) results for a relaxed NdTh2Pt crystal.

Computed properties:
Its space group is No. 160.

Cell lengths 3.9063, 3.9063, 9.7631 Å; angles 78.46, 78.46, 60.00 degrees
Fractional positions:
Nd 0.4987 0.4987 0.5039
Th 0.0659 0.0659 0.8025
Th 0.2685 0.2685 0.1944
Pt 0.6669 0.6669 0.9992

---

Quick one: least stable of them? 3

---

--- 1 ---
DFT (GGA-PBE) results for a relaxed NdTh2Pt9 crystal.

Computed properties:
Its space group is No. 123.

Cell lengths 4.2260, 4.2260, 12.6579 Å; angles 90.00, 90.00, 90.00 degrees
Fractional positions:
Nd 0.0000 0.0000 0.0000
Th 0.0000 0.0000 0.3307
Th 0.0000 0.0000 0.6693
Pt 0.5000 0.5000 0.0000
Pt 0.5000 0.5000 0.3342
Pt 0.5000 0.5000 0.6658
Pt 0.5000 0.0000 0.1678
Pt 0.5000 0.0000 0.5000
Pt 0.5000 0.0000 0.8322
Pt 0.0000 0.5000 0.1678
Pt 0.0000 0.5000 0.5000
Pt 0.0000 0.5000 0.8322

---

--- 2 ---
DFT (GGA-PBE) results for a relaxed NdTh2Pt9 crystal.

Computed properties:
Its space group is No. 166.

Cell lengths 5.4682, 5.4682, 9.5445 Å; angles 73.35, 73.35, 60.00 degrees
Fractional positions:
Nd 0.0000 0.0000 0.0000
Th 0.8626 0.8626 0.4121
Th 0.1374 0.1374 0.5879
Pt 0.6670 0.6670 0.9989
Pt 0.3330 0.3330 0.0011
Pt 0.5000 0.5000 0.5000
Pt 0.4127 0.4127 0.2554
Pt 0.9192 0.4127 0.2554
Pt 0.4127 0.9192 0.2554
Pt 0.5873 0.5873 0.7446
Pt 0.5873 0.0808 0.7446
Pt 0.0808 0.5873 0.7446

---

Quick one: least stable of them? 2

---

--- 1 ---
DFT (GGA-PBE) results for a relaxed NdTiPt2 crystal.

Computed properties:
Its space group is No. 166.

Cell lengths 4.4197, 4.4197, 5.6214 Å; angles 66.85, 66.85, 60.00 degrees
Fractional positions:
Nd 0.5000 0.5000 0.5000
Pt 0.2893 0.2893 0.1321
Pt 0.7107 0.7107 0.8679
Ti 0.0000 0.0000 0.0000

---

--- 2 ---
DFT (GGA-PBE) results for a relaxed NdTiPt2 crystal.

Computed properties:
Its space group is No. 123.

Cell lengths 3.2380, 3.2380, 7.3762 Å; angles 90.00, 90.00, 90.00 degrees
Fractional positions:
Nd 0.5000 0.5000 0.5000
Pt 0.0000 0.0000 0.8048
Pt 0.0000 0.0000 0.1952
Ti 0.5000 0.5000 0.0000

---

Quick one: least stable of them? 2

---

--- 1 ---
DFT (GGA-PBE) results for a relaxed Nd2TlPt crystal.

Computed properties:
Its space group is No. 160.

Cell lengths 4.1587, 4.1587, 8.5808 Å; angles 75.98, 75.98, 60.00 degrees
Fractional positions:
Nd 0.0664 0.0664 0.8007
Nd 0.2671 0.2671 0.1987
Tl 0.5005 0.5005 0.4985
Pt 0.6660 0.6660 0.0022

---

--- 2 ---
DFT (GGA-PBE) results for a relaxed Nd2TlPt crystal.

Computed properties:
Its space group is No. 123.

Cell lengths 3.6700, 3.6700, 7.9283 Å; angles 90.00, 90.00, 90.00 degrees
Fractional positions:
Tl 0.5000 0.5000 0.5000
Nd 0.0000 0.0000 0.7813
Nd 0.0000 0.0000 0.2187
Pt 0.5000 0.5000 0.0000

---

Quick one: least stable of them? 1

---

--- 1 ---
DFT (GGA-PBE) results for a relaxed Nd2TlPt crystal.

Computed properties:
Its space group is No. 166.

Cell lengths 4.0991, 4.0991, 8.6757 Å; angles 76.34, 76.34, 60.00 degrees
Fractional positions:
Tl 0.5000 0.5000 0.5000
Nd 0.2656 0.2656 0.2033
Nd 0.7344 0.7344 0.7967
Pt 0.0000 0.0000 0.0000

---

--- 2 ---
DFT (GGA-PBE) results for a relaxed Nd2TlPt crystal.

Computed properties:
Its space group is No. 225.

Cell lengths 5.3206, 5.3206, 5.3206 Å; angles 60.00, 60.00, 60.00 degrees
Fractional positions:
Tl 0.5000 0.5000 0.5000
Nd 0.2500 0.2500 0.2500
Nd 0.7500 0.7500 0.7500
Pt 0.0000 0.0000 0.0000

---

Quick one: least stable of them? 2

---

--- 1 ---
DFT (GGA-PBE) results for a relaxed Nd6TlPt2 crystal.

Computed properties:
Its space group is No. 71.

Cell lengths 8.8898, 8.8898, 8.8898 Å; angles 104.32, 109.95, 114.30 degrees
Fractional positions:
Nd 0.5249 0.7073 0.8176
Nd 0.4751 0.2927 0.1824
Nd 0.1102 0.2927 0.8176
Nd 0.8898 0.7073 0.1824
Nd 0.8000 0.7663 0.5663
Nd 0.2000 0.2337 0.4337
Nd 0.2000 0.7663 0.9663
Nd 0.8000 0.2337 0.0337
Nd 0.6943 0.3660 0.6717
Nd 0.3057 0.6340 0.3283
Nd 0.3057 0.9774 0.6717
Nd 0.6943 0.0226 0.3283
Tl 0.0000 0.5000 0.5000
Tl 0.0000 0.0000 0.0000
Pt 0.5000 0.3694 0.8694
Pt 0.5000 0.6306 0.1306
Pt 0.6540 0.0000 0.6540
Pt 0.3460 0.0000 0.3460

---

--- 2 ---
DFT (GGA-PBE) results for a relaxed Nd6TlPt2 crystal.

Computed properties:
Its space group is No. 12.

Cell lengths 4.9262, 6.2039, 9.5925 Å; angles 74.86, 90.00, 113.39 degrees
Fractional positions:
Nd 0.9724 0.9449 0.8466
Nd 0.7126 0.4252 0.1757
Nd 0.2874 0.5748 0.8243
Nd 0.6622 0.3244 0.6067
Nd 0.3378 0.6756 0.3933
Nd 0.0276 0.0551 0.1534
Tl 0.0000 0.0000 0.5000
Pt 0.6248 0.2496 0.9151
Pt 0.3752 0.7504 0.0849

---

Quick one: least stable of them? 2